i.
LaBiPt3 after structural relaxation. Source: the Alexandria database, functional PBE.

```
data_LaBiPt3
_cell_length_a 5.243
_cell_length_b 5.243
_cell_length_c 5.243
_cell_angle_alpha 90.00
_cell_angle_beta 90.00
_cell_angle_gamma 90.00
_symmetry_space_group_name_H-M 'P m -3 m'
_symmetry_Int_Tables_number 221
_symmetry_space_group_name_Hall '-P 4 2 3'
loop_
_atom_site_label
_atom_site_type_symbol
_atom_site_fract_x
_atom_site_fract_y
_atom_site_fract_z
La1 La 0.000 0.000 0.000
Bi1 Bi 0.500 0.500 0.500
Pt1 Pt 0.000 0.000 0.500
```



ii.
LaBiPt3 after structural relaxation. Source: the Alexandria database, functional PBE.

```
data_LaBiPt3
_cell_length_a 5.102
_cell_length_b 5.102
_cell_length_c 5.102
_cell_angle_alpha 90.00
_cell_angle_beta 90.00
_cell_angle_gamma 90.00
_symmetry_space_group_name_H-M 'P m -3 m'
_symmetry_Int_Tables_number 221
_symmetry_space_group_name_Hall '-P 4 2 3'
loop_
_atom_site_label
_atom_site_type_symbol
_atom_site_fract_x
_atom_site_fract_y
_atom_site_fract_z
La1 La 0.000 0.000 0.000
Bi1 Bi 0.500 0.500 0.500
Pt1 Pt 0.000 0.500 0.500
```



Stability ranking, top and bottom: ii is the most stable and i is the least stable.